CaTl2Ir: relaxed, PBE.

## Properties
Its formation energy is -0.02 eV per atom. The total DFT energy (no corrections) is -3.92 eV/atom. For the mass density, the calculation gives 10.1 g cm⁻³. The calculation puts the spin magnetization at 0.000 μB/cell.

Lattice parameters (Å, degrees): 4.616 3.415 7.065 90.00 108.66 90.00
Space group Pm (No. 6)
Unique sites:
Ca1 0.000 0.000 0.000 x1
Tl1 0.291 0.000 0.587 x1
Tl2 0.665 0.500 0.329 x1
Ir1 0.461 0.500 0.920 x1

Ce6ThS12: relaxed, PBE.

## Properties
The total DFT energy (no corrections) is -6.81 eV/atom. The energy relative to the elements, uncorrected comes out at -1943.6 meV/atom. For the mass density, the calculation gives 4.8 g cm⁻³. The calculation puts the spin magnetization at 12.108 μB/cell.

Lattice parameters (Å, degrees): 12.3837 12.3837 11.4449 90.00 90.00 120.00
Space group R-3 (No. 148, hexagonal axes)
Unique sites:
Ce1 0.0464 0.2633 0.1447 x18
Th1 0.0000 0.0000 0.5000 x3
S1 0.0343 0.2188 0.8961 x18
S2 0.0457 0.2141 0.3868 x18

CoRh2Cl: relaxed, PBE.

## Properties
The total DFT energy (no corrections) is -5.45 eV/atom. The energy relative to the elements, uncorrected comes out at 461.4 meV/atom. For the mass density, the calculation gives 8.5 g cm⁻³. For the energy relative to the lowest polymorph listed for this composition, the calculation gives 213.5 meV per atom. The calculation puts the spin magnetization at 5.560 μB/cell.

Lattice parameters (Å, degrees): 2.794 4.925 8.486 90.00 90.00 90.00
Space group Cmmm (No. 65)
Unique sites:
Co1 0.000 0.000 0.000 x2
Rh1 0.000 0.500 0.244 x4
Cl1 0.000 0.000 0.500 x2

AcDyZr: relaxed, PBE.

## Properties
Its formation energy is 0.07 eV per atom. The total DFT energy (no corrections) is -5.68 eV/atom. For the mass density, the calculation gives 8.1 g cm⁻³. For the energy relative to the lowest polymorph listed for this composition, the calculation gives 0.0 meV per atom. The calculation puts the spin magnetization at 0.000 μB/cell.

Lattice parameters (Å, degrees): 3.868 3.868 13.256 90.00 90.00 90.00
Space group P4/nmm (No. 129, origin choice 2)
Unique sites:
Ac1 0.250 0.250 0.109 x2
Dy1 0.250 0.250 0.693 x2
Zr1 0.250 0.250 0.452 x2